Crystalline MnCuPd at its relaxed geometry, computed with PBE-GGA.

Output
- Total magnetic moment: 8.17 Bohr magnetons per cell
- E_form: -0.265 eV/f.u.
- Polymorph energy (0 for the lowest one): 0.0 meV per atom

```
data_MnCuPd
_chemical_formula_sum 'Mn2 Cu2 Pd2'
_space_group_name_H-M_alt 'I 4 m m'
_space_group_IT_number 107
_space_group_name_Hall 'I 4 -2'
_cell_length_a 3.163
_cell_length_b 3.163
_cell_length_c 8.426
_cell_angle_alpha 90.00
_cell_angle_beta 90.00
_cell_angle_gamma 90.00
loop_
_atom_site_label
_atom_site_type_symbol
_atom_site_fract_x
_atom_site_fract_y
_atom_site_fract_z
Mn1 Mn 0.000 0.000 0.000
Cu1 Cu 0.000 0.000 0.658
Pd1 Pd 0.000 0.000 0.329
```


Crystalline MnCuPd5 at its relaxed geometry, computed with PBE-GGA.

Output
- Total magnetic moment: 19.28 Bohr magnetons per cell
- E_form: -0.460 eV/f.u.
- Polymorph energy (0 for the lowest one): 0.0 meV per atom

```
data_MnCuPd5
_chemical_formula_sum 'Mn4 Cu4 Pd20'
_space_group_name_H-M_alt 'C 1 2/c 1'
_space_group_IT_number 15
_space_group_name_Hall '-C 2yc'
_cell_length_a 11.829
_cell_length_b 7.257
_cell_length_c 5.083
_cell_angle_alpha 90.00
_cell_angle_beta 100.45
_cell_angle_gamma 90.00
loop_
_atom_site_label
_atom_site_type_symbol
_atom_site_fract_x
_atom_site_fract_y
_atom_site_fract_z
Mn1 Mn 0.250 0.250 0.000
Cu1 Cu 0.000 0.244 0.250
Pd1 Pd 0.000 0.119 0.750
Pd2 Pd 0.107 0.453 0.659
Pd3 Pd 0.185 0.096 0.498
```


Crystalline MnCuPd at its relaxed geometry, computed with PBE-GGA.

Output
- Total magnetic moment: 4.24 Bohr magnetons per cell
- E_form: -0.088 eV/f.u.
- Polymorph energy (0 for the lowest one): 59.0 meV per atom

```
data_MnCuPd
_chemical_formula_sum 'Mn1 Cu1 Pd1'
_space_group_name_H-M_alt 'P 3 m 1'
_space_group_IT_number 156
_space_group_name_Hall 'P 3 -2"'
_cell_length_a 4.2423
_cell_length_b 4.2423
_cell_length_c 2.7243
_cell_angle_alpha 90.00
_cell_angle_beta 90.00
_cell_angle_gamma 120.00
loop_
_atom_site_label
_atom_site_type_symbol
_atom_site_fract_x
_atom_site_fract_y
_atom_site_fract_z
Mn1 Mn 0.0000 0.0000 0.0000
Cu1 Cu 0.6667 0.3333 0.2807
Pd1 Pd 0.3333 0.6667 0.6316
```


Crystalline MnCuPd at its relaxed geometry, computed with PBE-GGA.

Output
- Total magnetic moment: 8.19 Bohr magnetons per cell
- E_form: 0.031 eV/f.u.
- Polymorph energy (0 for the lowest one): 98.8 meV per atom

```
data_MnCuPd
_chemical_formula_sum 'Mn2 Cu2 Pd2'
_space_group_name_H-M_alt 'P 4/n m m'
_space_group_IT_number 129
_cell_length_a 3.178
_cell_length_b 3.178
_cell_length_c 8.452
_cell_angle_alpha 90.00
_cell_angle_beta 90.00
_cell_angle_gamma 90.00
loop_
_space_group_symop_operation_xyz
'x,y,z'
'-x,-y,-z'
'-y+1/2,x,z'
'y+1/2,-x,-z'
'-x+1/2,-y+1/2,z'
'x+1/2,y+1/2,-z'
'y,-x+1/2,z'
'-y,x+1/2,-z'
'x+1/2,-y,-z'
'-x+1/2,y,z'
'-y,-x,-z'
'y,x,z'
'-x,y+1/2,-z'
'x,-y+1/2,z'
'y+1/2,x+1/2,-z'
'-y+1/2,-x+1/2,z'
loop_
_atom_site_label
_atom_site_type_symbol
_atom_site_fract_x
_atom_site_fract_y
_atom_site_fract_z
Mn1 Mn 0.250 0.250 0.096
Cu1 Cu 0.250 0.250 0.429
Pd1 Pd 0.250 0.250 0.746
```


Crystalline Mn3CuPd6 at its relaxed geometry, computed with PBE-GGA.

Output
- Total magnetic moment: 27.10 Bohr magnetons per cell
- E_form: -1.986 eV/f.u.

```
data_Mn3CuPd6
_chemical_formula_sum 'Mn6 Cu2 Pd12'
_space_group_name_H-M_alt 'P 1 21/m 1'
_space_group_IT_number 11
_space_group_name_Hall '-P 2yb'
_cell_length_a 7.368
_cell_length_b 4.499
_cell_length_c 9.725
_cell_angle_alpha 90.00
_cell_angle_beta 111.84
_cell_angle_gamma 90.00
loop_
_atom_site_label
_atom_site_type_symbol
_atom_site_fract_x
_atom_site_fract_y
_atom_site_fract_z
Mn1 Mn 0.052 0.250 0.382
Mn2 Mn 0.139 0.750 0.224
Mn3 Mn 0.280 0.250 0.982
Cu1 Cu 0.460 0.250 0.574
Pd1 Pd 0.034 0.750 0.923
Pd2 Pd 0.162 0.250 0.676
Pd3 Pd 0.246 0.750 0.518
Pd4 Pd 0.341 0.750 0.828
Pd5 Pd 0.355 0.250 0.288
Pd6 Pd 0.431 0.750 0.135
```


Crystalline Mn2CuPd4 at its relaxed geometry, computed with PBE-GGA.

Output
- Total magnetic moment: 18.47 Bohr magnetons per cell
- E_form: -0.639 eV/f.u.
- Polymorph energy (0 for the lowest one): 0.0 meV per atom

```
data_Mn2CuPd4
_chemical_formula_sum 'Mn4 Cu2 Pd8'
_space_group_name_H-M_alt 'C 1 2/m 1'
_space_group_IT_number 12
_space_group_name_Hall '-C 2y'
_cell_length_a 6.070
_cell_length_b 6.130
_cell_length_c 6.560
_cell_angle_alpha 90.00
_cell_angle_beta 115.90
_cell_angle_gamma 90.00
loop_
_atom_site_label
_atom_site_type_symbol
_atom_site_fract_x
_atom_site_fract_y
_atom_site_fract_z
Mn1 Mn 0.246 0.000 0.002
Cu1 Cu 0.000 0.000 0.500
Pd1 Pd 0.126 0.256 0.262
```


| no. | DOS at the Fermi energy (states/eV per cell) |
| --- | --- |
| 1 | 4.0 |
| 2 | 35.3 |
| 3 | 1.3 |
| 4 | 4.8 |
| 5 | 7.5 |
| 6 | 4.8 |